1.
11
Lattice="-3.4442 1.2145 0.0346 -1.3804 -3.7131 -7.0713 -2.8065 -8.1305 6.0291" Properties=species:S:1:pos:R:3 comment="Nd4Tl2Cd5 | Alexandria | PBE | relaxed" spacegroup=P2/m e_tot_ev_per_atom=-2.83 pbc="T T T"
Cd -3.4655 -9.8094 -0.6315
Cd -2.6068 -7.4241 1.1093
Cd -0.7215 -2.0342 -0.4107
Cd -0.6902 -1.8566 -3.5356
Cd -1.5801 -4.4196 -2.1515
Tl -1.8877 -5.4499 3.3970
Tl -2.2992 -6.3937 -4.4392
Nd -3.1752 -3.3651 -5.1890
Nd -4.2864 -6.6150 -1.7205
Nd -3.3448 -4.0142 0.7129
Nd -4.4560 -7.2641 4.1814


2.
14
Lattice="4.7668 0.0000 0.7181 2.3422 5.9050 0.6323 0.1932 0.2301 14.8991" Properties=species:S:1:pos:R:3 comment="Nd3Tl3Cd | Alexandria | PBE | relaxed" spacegroup=C2/m e_tot_ev_per_atom=-3.52 de_polymorph_ev_per_fu=0.00 pbc="T T T"
Nd 5.4116 4.6399 12.6193
Nd 3.9024 4.1220 6.4564
Nd 3.3998 2.0131 9.7931
Nd 2.7373 1.8486 14.1914
Nd 1.8907 1.4952 3.6302
Nd 4.5650 4.2865 2.0580
Tl 1.3799 1.7554 7.0206
Tl 4.5992 1.0459 1.8309
Tl 0.6890 1.3913 11.6073
Tl 2.7030 5.0892 14.4186
Tl 5.9223 4.3797 9.2289
Tl 6.6132 4.7438 4.6421
Cd 3.3815 5.5198 9.9147
Cd 3.9207 0.6153 6.3347


3.
19
Lattice="-7.2102 -0.5583 -2.7594 -3.2959 -2.9177 6.3669 -2.7030 6.6567 2.8802" Properties=species:S:1:pos:R:3 comment="NdTlCd17 | Alexandria | PBE | relaxed" spacegroup=R3m e_tot_ev_per_atom=-1.26 pbc="T T T"
Cd -8.2744 0.8457 0.9151
Cd -4.4943 -2.2107 3.6267
Cd -3.6318 -0.2781 -1.3814
Cd -5.0755 2.2834 5.4072
Cd -5.8721 1.6237 -1.0585
Cd -2.8952 3.7803 3.9454
Cd -1.3676 3.3463 1.4517
Cd -1.6654 -1.4634 3.2032
Cd -6.0515 -1.2721 -0.0039
Cd -6.8861 3.3748 1.1859
Cd -6.0218 4.4515 3.7336
Cd -3.1311 -0.0285 5.3324
Cd -11.8442 2.8520 5.8173
Cd -4.0791 4.4939 1.1851
Cd -1.3425 0.3233 0.6594
Cd -6.3182 -0.3335 5.4762
Cd -7.1603 -1.0538 2.7987
Tl -8.5571 2.0605 4.2029
Nd -4.3999 1.0595 2.1610


no.,formation energy (eV/f.u.)
1,-2.8
2,-2.3
3,-1.2